Mg2TcAu: relaxed, PBE.

The structure in POSCAR format:
```
Mg2TcAu
1.0
2.938 0.000 0.000
-1.469 2.545 0.000
0.000 0.000 27.532
Mg Tc Au
6 3 3
Cartesian
0.000 0.000 6.854
0.000 0.000 20.678
0.000 1.697 11.500
0.000 1.697 25.209
1.469 0.848 2.323
1.469 0.848 16.032
0.000 0.000 13.766
0.000 1.697 4.589
1.469 0.848 22.943
0.000 0.000 0.000
0.000 1.697 18.355
1.469 0.848 9.177
```

Output
E_tot (eV per cell): -50.31
Space group: No. 166
Calculated formation energy (meV per atom): 15.9
Mass density (g cm⁻³): 8.3

B5C7: relaxed, PBE.

The structure in POSCAR format:
```
B5C7
1.0
4.514 0.000 0.000
-0.958 4.416 0.000
-2.156 -0.980 3.887
B C
5 7
Cartesian
0.000 0.000 0.000
-1.402 0.109 2.657
2.294 -0.069 1.048
0.983 -0.016 3.621
2.913 2.484 0.641
-1.479 1.636 3.094
-0.766 2.476 2.027
0.113 -0.445 2.393
0.761 0.454 1.320
0.701 1.937 1.780
1.364 2.787 0.676
1.523 1.947 3.150
```

Output
E_tot (eV per cell): -92.84
Space group: No. 1
Calculated formation energy (meV per atom): 426.1
Mass density (g cm⁻³): 3.0

NpTi2Pt: relaxed, PBE.

The structure in POSCAR format:
```
NpTi2Pt
1.0
4.787 0.000 0.000
0.000 4.787 0.000
0.000 0.000 2.940
Np Ti Pt
1 2 1
Cartesian
0.000 0.000 0.000
0.000 2.393 1.470
2.393 0.000 1.470
2.393 2.393 0.000
```

Output
E_tot (eV per cell): -35.98
Space group: No. 123
Calculated formation energy (meV per atom): -302.2
Mass density (g cm⁻³): 13.0

ScTaMo: relaxed, PBE.

The structure in POSCAR format:
```
ScTaMo
1.0
2.937 0.000 0.000
-1.469 2.544 0.000
0.000 0.000 7.467
Sc Ta Mo
1 1 1
Cartesian
0.000 0.000 0.000
1.469 0.848 2.570
0.000 1.696 4.998
```

Output
E_tot (eV per cell): -27.93
Space group: No. 156
Calculated formation energy (meV per atom): 362.2
Mass density (g cm⁻³): 9.6

PrGd2Ho: relaxed, PBE.

The structure in POSCAR format:
```
PrGd2Ho
1.0
8.093 0.000 0.000
0.000 8.093 0.000
0.000 0.000 8.093
Pr Gd Ho
4 8 4
Cartesian
0.000 0.000 0.000
0.000 4.047 4.047
4.047 0.000 4.047
4.047 4.047 0.000
2.023 2.023 2.023
2.023 2.023 6.070
2.023 6.070 2.023
2.023 6.070 6.070
6.070 2.023 2.023
6.070 2.023 6.070
6.070 6.070 2.023
6.070 6.070 6.070
0.000 0.000 4.047
0.000 4.047 0.000
4.047 0.000 0.000
4.047 4.047 4.047
```

Output
E_tot (eV per cell): -148.58
Space group: No. 225
Calculated formation energy (meV per atom): 93.8
Mass density (g cm⁻³): 7.8

HfCd: relaxed, PBE.

The structure in POSCAR format:
```
HfCd
1.0
7.829 0.000 0.000
0.000 7.829 0.000
0.000 0.000 7.829
Hf Cd
6 6
Cartesian
0.000 1.957 3.914
0.000 5.872 3.914
1.957 3.914 0.000
3.914 0.000 1.957
3.914 0.000 5.872
5.872 3.914 0.000
0.000 3.914 1.957
0.000 3.914 5.872
1.957 0.000 3.914
3.914 1.957 0.000
3.914 5.872 0.000
5.872 0.000 3.914
```

Output
E_tot (eV per cell): -45.32
Space group: No. 223
Calculated formation energy (meV per atom): 1657.4
Mass density (g cm⁻³): 6.0

CaTlTeO6: relaxed, PBE.

The structure in POSCAR format:
```
CaTlTeO6
1.0
5.067 0.000 0.000
0.000 5.067 0.000
0.000 0.000 10.110
Ca Tl Te O
2 2 2 12
Cartesian
0.000 0.000 0.000
2.534 2.534 5.055
0.000 0.000 6.743
2.534 2.534 1.689
0.000 0.000 3.384
2.534 2.534 8.439
0.919 0.919 4.834
0.930 0.930 1.942
1.151 1.151 8.417
1.383 3.685 3.362
1.603 3.464 6.996
1.615 3.452 9.889
3.452 1.615 9.889
3.464 1.603 6.996
3.685 1.383 3.362
3.916 3.916 8.417
4.137 4.137 1.942
4.149 4.149 4.834
```

Output
E_tot (eV per cell): -96.94
Space group: No. 102
Energy relative to the elements, uncorrected (eV/atom): -1.246
Mass density (g cm⁻³): 6.0

AlInRh: relaxed, PBE.

The structure in POSCAR format:
```
AlInRh
1.0
4.312 0.000 0.000
-2.156 3.734 0.000
0.000 0.000 3.215
Al In Rh
1 1 1
Cartesian
0.000 0.000 0.000
2.156 1.245 1.608
0.000 2.489 0.000
```

Output
E_tot (eV per cell): -14.88
Space group: No. 187
Calculated formation energy (meV per atom): -350.6
Mass density (g cm⁻³): 7.9

LiTl2Pd7S2: relaxed, PBE.

The structure in POSCAR format:
```
LiTl2Pd7S2
1.0
2.826 -2.817 0.000
2.826 2.817 0.000
-1.562 0.000 13.853
Li Tl Pd S
1 2 7 2
Cartesian
0.000 0.000 0.000
-0.066 0.000 5.511
4.155 0.000 8.342
1.414 1.409 1.952
1.384 0.000 8.224
2.675 1.409 11.901
2.826 0.000 0.000
1.414 -1.409 1.952
2.705 0.000 5.629
2.675 -1.409 11.901
1.270 0.000 10.629
2.819 0.000 3.225
```

Output
E_tot (eV per cell): -54.04
Space group: No. 12
Energy relative to the elements, uncorrected (eV/atom): -0.232
Mass density (g cm⁻³): 9.2

Pr7Ga5Hg: relaxed, PBE.

The structure in POSCAR format:
```
Pr7Ga5Hg
1.0
-3.259 5.074 5.445
3.259 -5.074 5.445
3.259 5.074 -5.445
Pr Ga Hg
7 5 1
Cartesian
0.000 0.000 0.000
3.259 1.859 1.397
0.000 0.000 4.049
0.000 3.251 1.173
0.000 6.897 1.173
0.000 5.074 3.819
0.000 3.215 6.842
1.475 2.502 -1.400
1.783 -2.571 4.045
3.259 0.000 3.972
1.475 7.645 -1.400
1.783 2.571 4.045
0.000 0.000 7.432
```

Output
E_tot (eV per cell): -53.68
Space group: No. 44
Calculated formation energy (meV per atom): -368.2
Mass density (g cm⁻³): 7.1

ZnSi2Hg2: relaxed, PBE.

The structure in POSCAR format:
```
ZnSi2Hg2
1.0
3.441 0.000 0.000
0.000 3.441 0.000
0.000 0.000 17.228
Zn Si Hg
2 4 4
Cartesian
0.000 0.000 0.000
1.720 1.720 8.614
0.000 1.720 4.307
0.000 1.720 12.921
1.720 0.000 4.307
1.720 0.000 12.921
0.000 0.000 6.892
0.000 0.000 10.335
1.720 1.720 1.721
1.720 1.720 15.506
```

Output
E_tot (eV per cell): -22.19
Space group: No. 139
Energy relative to the elements, uncorrected (eV/atom): 0.326
Mass density (g cm⁻³): 8.5

Sr2ScP: relaxed, PBE.

The structure in POSCAR format:
```
Sr2ScP
1.0
3.814 0.000 0.000
0.000 3.814 0.000
0.000 0.000 8.690
Sr Sc P
2 1 1
Cartesian
0.000 0.000 1.606
0.000 0.000 7.084
1.907 1.907 4.345
1.907 1.907 0.000
```

Output
E_tot (eV per cell): -16.05
Space group: No. 123
Calculated formation energy (meV per atom): -236.8
Mass density (g cm⁻³): 3.3

Pm4HoBi5: relaxed, PBE.

The structure in POSCAR format:
```
Pm4HoBi5
1.0
-2.279 3.220 11.380
2.279 -3.220 11.380
2.279 3.220 -11.380
Pm Ho Bi
4 1 5
Cartesian
0.000 0.000 2.275
0.000 0.000 6.860
0.000 0.000 15.900
0.000 0.000 20.485
0.000 0.000 11.380
2.279 0.000 0.000
2.279 0.000 4.564
2.279 0.000 9.171
0.000 3.220 2.209
0.000 3.220 6.815
```

Output
E_tot (eV per cell): -52.16
Space group: No. 71
Calculated formation energy (meV per atom): -917.9
Mass density (g cm⁻³): 8.9

Ga2Sn3Au8: relaxed, PBE.

The structure in POSCAR format:
```
Ga2Sn3Au8
1.0
2.810 1.622 10.751
-2.810 1.622 10.751
0.000 -3.244 10.751
Ga Sn Au
2 3 8
Cartesian
0.000 0.000 3.433
0.000 0.000 28.820
0.000 0.000 8.596
0.000 0.000 16.126
0.000 0.000 23.656
0.000 0.000 5.912
0.000 -1.602 12.040
-1.388 0.801 12.040
-1.388 -0.801 20.213
1.388 0.801 12.040
1.388 -0.801 20.213
0.000 1.602 20.213
0.000 0.000 26.341
```

Output
E_tot (eV per cell): -44.30
Space group: No. 166
Calculated formation energy (meV per atom): -1.5
Mass density (g cm⁻³): 11.7

RbTlSb2Au4: relaxed, PBE.

The structure in POSCAR format:
```
RbTlSb2Au4
1.0
4.845 0.000 0.000
0.000 4.845 0.000
0.000 0.000 10.091
Rb Tl Sb Au
1 1 2 4
Cartesian
0.000 0.000 0.000
0.000 0.000 5.045
2.422 2.422 2.017
2.422 2.422 8.074
0.000 2.422 3.197
0.000 2.422 6.894
2.422 0.000 3.197
2.422 0.000 6.894
```

Output
E_tot (eV per cell): -25.64
Space group: No. 123
Energy relative to the elements, uncorrected (eV/atom): -0.119
Mass density (g cm⁻³): 9.3

Li4Tm3PuSe8: relaxed, PBE.

The structure in POSCAR format:
```
Li4Tm3PuSe8
1.0
4.051 2.339 6.479
-4.051 2.339 6.479
0.000 -4.677 6.479
Li Tm Pu Se
4 3 1 8
Cartesian
0.000 0.000 0.000
-2.025 -1.169 6.479
-2.025 1.169 12.959
0.000 2.339 6.479
-4.051 0.000 9.719
-2.025 1.169 3.240
2.025 1.169 3.240
0.000 0.000 9.719
-2.063 -1.191 11.354
0.000 -2.382 8.084
-2.063 1.191 8.084
0.000 0.000 4.862
0.000 0.000 14.576
2.063 -1.191 11.354
0.000 2.382 11.354
2.063 1.191 8.084
```

Output
E_tot (eV per cell): -88.98
Space group: No. 166
Energy relative to the elements, uncorrected (eV/atom): -1.607
Mass density (g cm⁻³): 6.4

CsPd3I: relaxed, PBE.

The structure in POSCAR format:
```
CsPd3I
1.0
5.349 0.000 0.000
0.000 5.349 0.000
0.000 0.000 5.349
Cs Pd I
1 3 1
Cartesian
0.000 0.000 0.000
0.000 0.000 2.674
0.000 2.674 0.000
2.674 0.000 0.000
2.674 2.674 2.674
```

Output
E_tot (eV per cell): -12.61
Space group: No. 221
Energy relative to the elements, uncorrected (eV/atom): 1.075
Mass density (g cm⁻³): 6.3

Dy2HgC: relaxed, PBE.

The structure in POSCAR format:
```
Dy2HgC
1.0
3.601 0.000 0.000
-1.801 3.119 0.000
0.000 0.000 23.586
Dy Hg C
6 3 3
Cartesian
0.000 0.000 0.000
0.000 0.000 5.152
0.000 2.079 15.724
0.000 2.079 20.876
1.801 1.040 7.862
1.801 1.040 13.014
0.000 0.000 18.329
0.000 2.079 10.467
1.801 1.040 2.605
0.000 0.000 14.395
0.000 2.079 6.533
1.801 1.040 22.257
```

Output
E_tot (eV per cell): -60.73
Space group: No. 160
Calculated formation energy (meV per atom): -378.5
Mass density (g cm⁻³): 10.1

Ba2TmAgSe4: relaxed, PBE.

The structure in POSCAR format:
```
Ba2TmAgSe4
1.0
7.546 0.000 0.000
0.000 4.387 0.000
-2.717 0.000 7.253
Ba Tm Ag Se
2 1 1 4
Cartesian
0.000 0.000 0.000
-1.359 2.194 3.626
2.414 0.000 3.626
3.773 2.194 0.000
1.388 2.194 2.003
0.176 0.000 5.460
4.653 0.000 1.792
3.440 2.194 5.250
```

Output
E_tot (eV per cell): -37.25
Space group: No. 10
Energy relative to the elements, uncorrected (eV/atom): -1.519
Mass density (g cm⁻³): 6.0

P2PtAu: relaxed, PBE.

The structure in POSCAR format:
```
P2PtAu
1.0
5.372 0.000 0.000
0.000 7.074 0.000
0.000 0.000 7.093
P Pt Au
8 4 4
Cartesian
0.000 1.768 1.773
0.000 1.768 5.320
0.000 5.305 1.773
0.000 5.305 5.320
2.686 1.768 1.773
2.686 1.768 5.320
2.686 5.305 1.773
2.686 5.305 5.320
0.000 0.000 0.000
0.000 3.537 3.546
2.686 0.000 3.546
2.686 3.537 0.000
0.000 0.000 3.546
0.000 3.537 0.000
2.686 0.000 0.000
2.686 3.537 3.546
```

Output
E_tot (eV per cell): -78.95
Space group: No. 69
Calculated formation energy (meV per atom): 99.8
Mass density (g cm⁻³): 11.2